# CoNi3Ge (PBE, optimized geometry)
data_CoNi3Ge
_cell_length_a 4.282
_cell_length_b 4.282
_cell_length_c 4.282
_cell_angle_alpha 90.00
_cell_angle_beta 90.00
_cell_angle_gamma 90.00
_symmetry_space_group_name_H-M 'P m -3 m'
_symmetry_Int_Tables_number 221
_symmetry_space_group_name_Hall '-P 4 2 3'
loop_
_atom_site_label
_atom_site_type_symbol
_atom_site_fract_x
_atom_site_fract_y
_atom_site_fract_z
Co1 Co 0.000 0.000 0.000
Ni1 Ni 0.000 0.500 0.500
Ge1 Ge 0.500 0.500 0.500
# Offset from the most stable computed form: 322.8 kJ/mol of formula units
# Total energy: -4.926 eV/atom
# Magnetization: 2.676 μB per formula unit



# CoNiGe (PBE, optimized geometry)
data_CoNiGe
_cell_length_a 5.439
_cell_length_b 5.439
_cell_length_c 5.439
_cell_angle_alpha 90.00
_cell_angle_beta 90.00
_cell_angle_gamma 90.00
_symmetry_space_group_name_H-M 'F -4 3 m'
_symmetry_Int_Tables_number 216
_symmetry_space_group_name_Hall 'F -4 2 3'
loop_
_atom_site_label
_atom_site_type_symbol
_atom_site_fract_x
_atom_site_fract_y
_atom_site_fract_z
Co1 Co 0.000 0.000 0.000
Ni1 Ni 0.000 0.000 0.500
Ge1 Ge 0.250 0.250 0.750
# Total energy: -5.910 eV/atom
# Magnetization: 0.000 μB per formula unit



# CoNi5Ge2 (PBE, optimized geometry)
data_CoNi5Ge2
_cell_length_a 5.069
_cell_length_b 10.130
_cell_length_c 3.557
_cell_angle_alpha 90.00
_cell_angle_beta 90.00
_cell_angle_gamma 90.00
_symmetry_space_group_name_H-M 'P b a m'
_symmetry_Int_Tables_number 55
_symmetry_space_group_name_Hall '-P 2 2ab'
loop_
_atom_site_label
_atom_site_type_symbol
_atom_site_fract_x
_atom_site_fract_y
_atom_site_fract_z
Co1 Co 0.000 0.000 0.000
Ni1 Ni 0.000 0.500 0.000
Ni2 Ni 0.006 0.250 0.000
Ni3 Ni 0.246 0.626 0.500
Ge1 Ge 0.244 0.877 0.500
# Total energy: -5.895 eV/atom
# Magnetization: 1.164 μB per formula unit